# 1
TbDy8Mg2 | PBE | relaxed

Cell: 5.6404 8.8702 8.8702 Å, 121.09 102.31 102.31°
Positions (direct):
1 Tb 0.5000 0.0000 0.0000
2 Dy 0.8694 0.9026 0.6792
3 Dy 0.8694 0.6792 0.9026
4 Dy 0.2967 0.5938 0.5938
5 Dy 0.5000 0.7876 0.2124
6 Dy 0.5000 0.2124 0.7876
7 Dy 0.7033 0.4062 0.4062
8 Dy 0.1306 0.3208 0.0974
9 Dy 0.1306 0.0974 0.3208
10 Mg 0.0000 0.3067 0.6933
11 Mg 0.0000 0.6933 0.3067

Results
DOS at the Fermi energy: 13.61 states/eV per cell
polymorph energy (0 for the lowest one): 125 meV per atom
space group: C2/m (12)
total magnetic moment: 0.000 μB/atom
energy relative to the elements: 0.1434 eV/atom

# 2
CaTb2ReN4 | PBE | relaxed

Cell: 3.4139 6.2528 12.1808 Å, 90.00 90.00 105.84°
Positions (direct):
1 Ca 0.0601 0.1202 0.7500
2 Ca 0.9399 0.8798 0.2500
3 Tb 0.3717 0.7434 0.5409
4 Tb 0.6283 0.2566 0.0409
5 Tb 0.6283 0.2566 0.4591
6 Tb 0.3717 0.7434 0.9591
7 Re 0.8112 0.6225 0.7500
8 Re 0.1888 0.3775 0.2500
9 N 0.2615 0.5231 0.1146
10 N 0.7385 0.4769 0.6146
11 N 0.7385 0.4769 0.8854
12 N 0.2615 0.5231 0.3854
13 N 0.0000 0.0000 0.5000
14 N 0.0000 0.0000 0.0000
15 N 0.4099 0.8199 0.7500
16 N 0.5901 0.1801 0.2500

Results
DOS at the Fermi energy: 3.70 states/eV per cell
space group: Cmcm (63)
total magnetic moment: 0.000 μB/atom
VASP energy: -8.06 eV per atom

# 3
CePr2Au | PBE | relaxed

Cell: 3.5963 5.5635 5.5635 Å, 90.00 90.00 90.00°
Positions (direct):
1 Pr 0.0000 0.0000 0.5000
2 Pr 0.0000 0.5000 0.0000
3 Au 0.5000 0.0000 0.0000
4 Ce 0.5000 0.5000 0.5000

Results
DOS at the Fermi energy: 7.91 states/eV per cell
polymorph energy (0 for the lowest one): 88 meV per atom
space group: P4/mmm (123)
total magnetic moment: 0.108 μB/atom
energy relative to the elements: -0.2209 eV/atom

# 4
Y2U3O11 | PBE | relaxed

Cell: 9.9565 9.9565 9.9565 Å, 158.07 148.26 38.91°
Positions (direct):
1 Y 0.2026 0.2026 0.0000
2 Y 0.7974 0.7974 0.0000
3 U 0.4018 0.4018 0.0000
4 U 0.0000 0.0000 0.0000
5 U 0.5982 0.5982 0.0000
6 O 0.4558 0.6925 0.7634
7 O 0.0709 0.3075 0.7634
8 O 0.9291 0.6925 0.2366
9 O 0.6620 0.8995 0.7625
10 O 0.5442 0.3075 0.2366
11 O 0.2193 0.5000 0.7193
12 O 0.1370 0.8995 0.2375
13 O 0.5000 0.0000 0.5000
14 O 0.8630 0.1005 0.7625
15 O 0.7807 0.5000 0.2807
16 O 0.3380 0.1005 0.2375

Results
DOS at the Fermi energy: 10.35 states/eV per cell
space group: Immm (71)
total magnetic moment: 0.127 μB/atom
VASP energy: -9.48 eV per atom

# 5
Sr2PrBiO6 | PBE | relaxed

Cell: 6.0319 6.2201 8.6456 Å, 90.00 90.30 90.00°
Positions (direct):
1 Sr 0.0144 0.9515 0.2511
2 Sr 0.5144 0.5485 0.7511
3 Sr 0.9856 0.0485 0.7489
4 Sr 0.4856 0.4515 0.2489
5 Pr 0.5000 0.0000 0.0000
6 Pr 0.0000 0.5000 0.5000
7 Bi 0.5000 0.0000 0.5000
8 Bi 0.0000 0.5000 0.0000
9 O 0.2859 0.6916 0.0534
10 O 0.7859 0.8084 0.5534
11 O 0.7141 0.3084 0.9466
12 O 0.2141 0.1916 0.4466
13 O 0.3135 0.7157 0.4390
14 O 0.8135 0.7843 0.9390
15 O 0.6865 0.2843 0.5610
16 O 0.1865 0.2157 0.0610
17 O 0.8928 0.5454 0.2357
18 O 0.3928 0.9546 0.7357
19 O 0.1072 0.4546 0.7643
20 O 0.6072 0.0454 0.2643

Results
DOS at the Fermi energy: 0.00 states/eV per cell
space group: P2_1/c (14)
total magnetic moment: 0.000 μB/atom
VASP energy: -6.53 eV per atom

# 6
BaTl2Re | PBE | relaxed

Cell: 6.7790 6.7790 6.7790 Å, 153.34 126.53 60.73°
Positions (direct):
1 Re 0.7500 0.2500 0.5000
2 Tl 0.9575 0.9575 0.0000
3 Tl 0.5425 0.5425 0.0000
4 Ba 0.2500 0.7500 0.5000

Results
DOS at the Fermi energy: 3.63 states/eV per cell
polymorph energy (0 for the lowest one): 92 meV per atom
space group: Immm (71)
total magnetic moment: 0.000 μB/atom
energy relative to the elements: 0.6719 eV/atom